Here is a relaxed LiMn3B crystal from Alexandria via LeMat-Bulk. Energies are from PBE-GGA.

Cell and atoms, written as CIF:
```
data_LiMn3B
_chemical_formula_sum 'Li1 Mn3 B1'
_cell_length_a 4.034
_cell_length_b 4.034
_cell_length_c 4.034
_cell_angle_alpha 90.00
_cell_angle_beta 90.00
_cell_angle_gamma 90.00
_space_group_name_H-M_alt 'P m -3 m'
_space_group_IT_number 221
_space_group_name_Hall '-P 4 2 3'
loop_
_atom_site_label
_atom_site_fract_x
_atom_site_fract_y
_atom_site_fract_z
Li1 0.000 0.000 0.000
Mn1 0.000 0.500 0.500
B1 0.500 0.500 0.500
```

Properties
Its formation energy is 0.245 eV per atom. The total magnetization is 1.77 μB per atom. The calculation puts the volume at 13.1 Å³/atom. The calculation puts the energy above the lowest structure with this stoichiometry at 0.000 eV per atom. The uncorrected energy is -6.97 eV per atom.

Here is a relaxed LiMnB2 crystal from Alexandria via LeMat-Bulk. Energies are from PBE-GGA.

Cell and atoms, written as CIF:
```
data_LiMnB2
_chemical_formula_sum 'Li4 Mn4 B8'
_cell_length_a 3.408
_cell_length_b 3.408
_cell_length_c 14.432
_cell_angle_alpha 90.00
_cell_angle_beta 90.00
_cell_angle_gamma 90.00
_space_group_name_H-M_alt 'I 41/a m d'
_space_group_IT_number 141
loop_
_space_group_symop_operation_xyz
'x,y,z'
'-x,-y,-z'
'-y+1/4,x+3/4,z+1/4'
'y+1/4,-x+3/4,-z+1/4'
'-x+1/2,-y,z+1/2'
'x+1/2,y,-z+1/2'
'y+1/4,-x+1/4,z+3/4'
'-y+1/4,x+1/4,-z+3/4'
'x,-y,-z'
'-x,y,z'
'-y+1/4,-x+1/4,-z+3/4'
'y+1/4,x+1/4,z+3/4'
'-x+1/2,y,-z+1/2'
'x+1/2,-y,z+1/2'
'y+1/4,x+3/4,-z+1/4'
'-y+1/4,-x+3/4,z+1/4'
'x+1/2,y+1/2,z+1/2'
'-x+1/2,-y+1/2,-z+1/2'
'-y+3/4,x+1/4,z+3/4'
'y+3/4,-x+1/4,-z+3/4'
'-x,-y+1/2,z'
'x,y+1/2,-z'
'y+3/4,-x+3/4,z+1/4'
'-y+3/4,x+3/4,-z+1/4'
'x+1/2,-y+1/2,-z+1/2'
'-x+1/2,y+1/2,z+1/2'
'-y+3/4,-x+3/4,-z+1/4'
'y+3/4,x+3/4,z+1/4'
'-x,y+1/2,-z'
'x,-y+1/2,z'
'y+3/4,x+1/4,-z+3/4'
'-y+3/4,-x+1/4,z+3/4'
loop_
_atom_site_label
_atom_site_fract_x
_atom_site_fract_y
_atom_site_fract_z
Li1 0.000 0.250 0.375
Mn1 0.000 0.250 0.875
B1 0.000 0.000 0.000
```

Properties
Its formation energy is 0.449 eV per atom. The total magnetization is 0.00 μB per atom. The calculation puts the volume at 10.5 Å³/atom. The calculation puts the energy above the lowest structure with this stoichiometry at 0.130 eV per atom. The uncorrected energy is -5.66 eV per atom.

Here is a relaxed LiMnB2 crystal from Alexandria via LeMat-Bulk. Energies are from PBE-GGA.

Cell and atoms, written as CIF:
```
data_LiMnB2
_chemical_formula_sum 'Li4 Mn4 B8'
_cell_length_a 4.983
_cell_length_b 4.983
_cell_length_c 4.983
_cell_angle_alpha 90.00
_cell_angle_beta 90.00
_cell_angle_gamma 90.00
_space_group_name_H-M_alt 'F m -3 m'
_space_group_IT_number 225
_space_group_name_Hall '-F 4 2 3'
loop_
_atom_site_label
_atom_site_fract_x
_atom_site_fract_y
_atom_site_fract_z
Li1 0.000 0.000 0.000
Mn1 0.000 0.000 0.500
B1 0.250 0.250 0.250
```

Properties
Its formation energy is 0.319 eV per atom. The total magnetization is 0.00 μB per atom. The calculation puts the volume at 7.7 Å³/atom. The calculation puts the energy above the lowest structure with this stoichiometry at 0.000 eV per atom. The uncorrected energy is -5.79 eV per atom.